# InCoHPt2

Crystalline InCoHPt2 at its relaxed geometry (PBE-GGA, the Alexandria database).

Output
magnetic moment = 1.1 μB/f.u.
SG = P4/mmm (123)
VASP energy = -5.19 eV/atom

Geometry as POSCAR:
```
InCoHPt2
1.0
-3.526 -0.942 -1.670
1.642 -3.290 -1.611
-0.988 -2.093 3.267
H Co In Pt
1 1 1 2
Direct
0.000 0.000 0.000
0.000 0.000 0.500
0.500 0.500 0.500
0.500 0.000 0.000
0.000 0.500 0.000
```

=====

# InCo2HPt

Crystalline InCo2HPt at its relaxed geometry (PBE-GGA, the Alexandria database).

Output
magnetic moment = 2.0 μB/f.u.
SG = P4/mmm (123)
VASP energy = -5.28 eV/atom

Geometry as POSCAR:
```
InCo2HPt
1.0
3.910 0.000 0.000
0.000 3.910 0.000
0.000 0.000 3.854
Co In H Pt
2 1 1 1
Direct
0.000 0.500 0.000
0.500 0.000 0.000
0.500 0.500 0.500
0.000 0.000 0.000
0.000 0.000 0.500
```

=====

# InCo2HRh

Crystalline InCo2HRh at its relaxed geometry (PBE-GGA, the Alexandria database).

Output
magnetic moment = 2.8 μB/f.u.
SG = P4/mmm (123)
VASP energy = -5.53 eV/atom

Geometry as POSCAR:
```
InCo2HRh
1.0
-0.632 2.966 -2.308
-3.618 -1.114 -0.441
-1.068 2.222 3.149
Co H In Rh
2 1 1 1
Direct
0.500 0.000 0.000
0.000 0.500 0.000
0.000 0.000 0.000
0.500 0.500 0.500
0.000 0.000 0.500
```

=====

# InCoHRh2

Crystalline InCoHRh2 at its relaxed geometry (PBE-GGA, the Alexandria database).

Output
magnetic moment = 2.2 μB/f.u.
SG = P4/mmm (123)
VASP energy = -5.68 eV/atom

Geometry as POSCAR:
```
InCoHRh2
1.0
4.049 0.000 0.000
0.000 4.049 0.000
0.000 0.000 3.760
Rh Co H In
2 1 1 1
Direct
0.000 0.500 0.000
0.500 0.000 0.000
0.000 0.000 0.500
0.000 0.000 0.000
0.500 0.500 0.500
```

=====

# InCoHRu2

Crystalline InCoHRu2 at its relaxed geometry (PBE-GGA, the Alexandria database).

Output
magnetic moment = 3.7 μB/f.u.
SG = P4/mmm (123)
ΔE to the lowest computed polymorph = 521 meV per atom
VASP energy = -5.63 eV/atom

Geometry as POSCAR:
```
InCoHRu2
1.0
-0.576 -4.391 -1.765
2.213 -1.035 1.854
-3.250 -0.925 3.363
Ru H In Co
2 1 1 1
Direct
0.000 0.000 0.500
0.500 0.000 0.000
0.000 0.500 0.000
0.500 0.500 0.500
0.000 0.000 0.000
```

=====

# InCoHRu2

Crystalline InCoHRu2 at its relaxed geometry (PBE-GGA, the Alexandria database).

Output
magnetic moment = 5.0 μB/f.u.
SG = P4/mmm (123)
ΔE to the lowest computed polymorph = 2250 meV per atom
VASP energy = -3.90 eV/atom

Geometry as POSCAR:
```
InCoHRu2
1.0
-2.213 -1.725 4.103
1.427 -4.368 -1.066
4.189 0.741 2.571
Ru Co In H
2 1 1 1
Direct
0.500 0.000 0.000
0.000 0.000 0.500
0.000 0.500 0.000
0.000 0.000 0.000
0.500 0.500 0.500
```

=====

# InCoHRu2

Crystalline InCoHRu2 at its relaxed geometry (PBE-GGA, the Alexandria database).

Output
magnetic moment = 1.2 μB/f.u.
SG = P4/mmm (123)
ΔE to the lowest computed polymorph = 0 meV per atom
VASP energy = -6.15 eV/atom

Geometry as POSCAR:
```
InCoHRu2
1.0
3.993 0.000 0.000
0.000 3.993 0.000
0.000 0.000 3.811
In Ru H Co
1 2 1 1
Direct
0.500 0.500 0.500
0.500 0.000 0.000
0.000 0.500 0.000
0.000 0.000 0.000
0.000 0.000 0.500
```

=====

# InCo2HRu

Crystalline InCo2HRu at its relaxed geometry (PBE-GGA, the Alexandria database).

Output
magnetic moment = 3.4 μB/f.u.
SG = P4/mmm (123)
VASP energy = -5.77 eV/atom

Geometry as POSCAR:
```
InCo2HRu
1.0
3.877 0.000 0.000
0.000 3.877 0.000
0.000 0.000 3.860
Co H In Ru
2 1 1 1
Direct
0.500 0.000 0.000
0.000 0.500 0.000
0.000 0.000 0.000
0.500 0.500 0.500
0.000 0.000 0.500
```